Entry 1:
Density functional theory data (GGA-PBE) for LiHoTlBi after structural relaxation.

Output
SG: F-43m
ΔE_f (kJ per mole of atoms): -32.3

```
LiHoTlBi
1.0
0.000 3.752 3.752
3.752 0.000 3.752
3.752 3.752 0.000
Li Ho Tl Bi
1 1 1 1
Cartesian
0.000 0.000 0.000
3.752 3.752 3.752
1.876 1.876 1.876
5.629 5.629 5.629
```

Entry 2:
Density functional theory data (GGA-PBE) for AcAgAuO after structural relaxation.

Output
Formation energy without anion corrections (eV/atom): -1.5451
SG: P4/nmm

```
AcAgAuO
1.0
4.274 0.000 0.000
0.000 4.274 0.000
0.000 0.000 9.777
Ac Ag Au O
2 2 2 2
Cartesian
1.068 1.068 1.261
3.205 3.205 8.515
1.068 3.205 4.888
3.205 1.068 4.888
1.068 1.068 6.735
3.205 3.205 3.041
1.068 3.205 0.000
3.205 1.068 0.000
```

Entry 3:
Density functional theory data (GGA-PBE) for Cd12Pd3O5 after structural relaxation.

Output
Formation energy without anion corrections (eV/atom): -0.5171
SG: Ia-3d

```
Cd12Pd3O5
1.0
-7.295 7.295 7.295
7.295 -7.295 7.295
7.295 7.295 -7.295
Cd Pd O
48 12 20
Cartesian
2.201 -0.433 0.975
8.741 4.623 -4.080
6.862 -0.975 2.201
11.375 -1.447 2.672
9.496 0.433 0.975
8.741 -2.672 4.080
0.975 2.201 -0.433
9.967 3.215 -1.447
4.623 4.080 -1.447
6.319 2.201 0.433
-0.433 0.975 2.201
4.080 -1.447 4.623
6.862 6.319 -2.201
4.080 1.447 2.672
6.319 -2.201 6.862
4.623 -4.080 8.741
2.672 4.080 1.447
8.270 5.094 0.433
2.201 6.862 -0.975
8.741 2.672 3.215
4.080 8.741 -2.672
6.862 0.975 5.094
1.447 2.672 4.080
2.201 0.433 6.319
5.094 6.862 0.975
5.848 4.623 3.215
0.433 6.319 2.201
3.215 -1.447 9.967
-1.447 4.623 4.080
5.094 0.433 8.270
-0.975 2.201 6.862
4.623 3.215 5.848
2.672 11.375 -1.447
0.975 9.496 0.433
3.215 5.848 4.623
0.433 0.975 9.496
3.215 8.741 2.672
7.727 6.319 5.094
0.975 5.094 6.862
2.672 3.215 8.741
-2.672 4.080 8.741
6.319 5.094 7.727
-1.447 9.967 3.215
-2.201 6.862 6.319
-4.080 8.741 4.623
0.433 8.270 5.094
-1.447 2.672 11.375
5.094 7.727 6.319
3.647 1.824 0.000
7.295 3.647 -1.824
1.824 0.000 3.647
9.118 0.000 3.647
0.000 3.647 1.824
3.647 -1.824 7.295
3.647 9.118 0.000
7.295 3.647 5.471
-1.824 7.295 3.647
5.471 7.295 3.647
0.000 3.647 9.118
3.647 5.471 7.295
0.000 0.000 0.000
3.647 3.647 -3.647
3.647 -3.647 3.647
7.295 0.000 0.000
10.942 1.824 0.000
7.295 -3.647 5.471
5.471 7.295 -3.647
5.471 0.000 3.647
3.647 5.471 0.000
7.295 3.647 1.824
-3.647 3.647 3.647
0.000 7.295 0.000
0.000 0.000 7.295
3.647 3.647 3.647
0.000 3.647 5.471
3.647 1.824 7.295
1.824 7.295 3.647
1.824 0.000 10.942
0.000 10.942 1.824
-3.647 5.471 7.295
```

Entry 4:
Density functional theory data (GGA-PBE) for LiSc2Ir2 after structural relaxation.

Output
SG: P4/mbm
ΔE_f (kJ per mole of atoms): -55.9
Offset from the most stable computed form (eV/atom): 0.0000

```
LiSc2Ir2
1.0
7.760 0.000 0.000
0.000 7.760 0.000
0.000 0.000 3.018
Li Sc Ir
2 4 4
Cartesian
0.000 0.000 0.000
3.880 3.880 0.000
1.136 2.744 0.000
2.744 6.624 0.000
5.017 1.136 0.000
6.624 5.017 0.000
1.156 5.036 1.509
2.724 1.156 1.509
5.036 6.604 1.509
6.604 2.724 1.509
```

Entry 5:
Density functional theory data (GGA-PBE) for NaIn3N after structural relaxation.

Output
Formation energy without anion corrections (eV/atom): 1.6008
SG: Pm-3m
Offset from the most stable computed form (eV/atom): 1.1574

```
NaIn3N
1.0
5.435 0.000 0.000
0.000 5.435 0.000
0.000 0.000 5.435
Na In N
1 3 1
Cartesian
0.000 0.000 0.000
0.000 0.000 2.717
0.000 2.717 0.000
2.717 0.000 0.000
2.717 2.717 2.717
```

Entry 6:
Density functional theory data (GGA-PBE) for CaAl2Ni after structural relaxation.

Output
SG: Pmmm
ΔE_f (kJ per mole of atoms): -33.0

```
CaAl2Ni
1.0
3.049 0.000 0.000
0.000 3.074 0.000
0.000 0.000 7.513
Ca Al Ni
1 2 1
Cartesian
0.000 0.000 0.000
1.525 1.537 2.399
1.525 1.537 5.114
0.000 0.000 3.757
```

Entry 7:
Density functional theory data (GGA-PBE) for Co3ReCl after structural relaxation.

Output
Formation energy without anion corrections (eV/atom): 1.2101
SG: Pm-3m
Offset from the most stable computed form (eV/atom): 0.0000

```
Co3ReCl
1.0
4.073 0.000 0.000
0.000 4.073 0.000
0.000 0.000 4.073
Co Re Cl
3 1 1
Cartesian
0.000 0.000 2.037
0.000 2.037 0.000
2.037 0.000 0.000
2.037 2.037 2.037
0.000 0.000 0.000
```

Entry 8:
Density functional theory data (GGA-PBE) for NiGe3Os after structural relaxation.

Output
SG: Pm-3m
ΔE_f (kJ per mole of atoms): 70.2
Offset from the most stable computed form (eV/atom): 0.0000

```
NiGe3Os
1.0
4.756 0.000 0.000
0.000 4.756 0.000
0.000 0.000 4.756
Ni Ge Os
1 3 1
Cartesian
0.000 0.000 0.000
0.000 2.378 2.378
2.378 0.000 2.378
2.378 2.378 0.000
2.378 2.378 2.378
```

Entry 9:
Density functional theory data (GGA-PBE) for AlSi2Ru after structural relaxation.

Output
Formation energy without anion corrections (eV/atom): -0.0686
SG: I4/mmm

```
AlSi2Ru
1.0
-1.977 1.977 3.514
1.977 -1.977 3.514
1.977 1.977 -3.514
Al Si Ru
1 2 1
Cartesian
0.000 0.000 0.000
1.977 0.000 1.757
0.000 1.977 1.757
0.000 0.000 3.514
```

Entry 10:
Density functional theory data (GGA-PBE) for TaGaNiPt after structural relaxation.

Output
SG: F-43m
ΔE_f (kJ per mole of atoms): -39.3

```
TaGaNiPt
1.0
0.000 3.109 3.109
3.109 0.000 3.109
3.109 3.109 0.000
Ta Ga Ni Pt
1 1 1 1
Cartesian
0.000 0.000 0.000
3.109 3.109 3.109
4.663 4.663 4.663
1.554 1.554 1.554
```

Entry 11:
Density functional theory data (GGA-PBE) for YTc2P after structural relaxation.

Output
SG: R3m
ΔE_f (kJ per mole of atoms): 6.8

```
YTc2P
1.0
1.644 0.949 7.664
-1.644 0.949 7.664
0.000 -1.899 7.664
Y Tc P
1 2 1
Cartesian
0.000 0.000 0.000
0.000 0.000 11.885
0.000 0.000 17.535
0.000 0.000 5.601
```

Entry 12:
Density functional theory data (GGA-PBE) for BaLiCl2 after structural relaxation.

Output
Formation energy without anion corrections (eV/atom): -1.6432
SG: Cmmm
Offset from the most stable computed form (eV/atom): 0.0831

```
BaLiCl2
1.0
1.897 -4.150 0.000
1.897 4.150 0.000
0.000 0.000 8.411
Ba Li Cl
1 1 2
Cartesian
0.000 0.000 0.000
0.000 0.000 4.205
1.897 0.000 2.537
1.897 0.000 5.874
```

Number 1: energy -14.08 eV/cell. Number 2: energy -42.75 eV/cell. Number 3: energy -246.77 eV/cell. Number 4: energy -70.40 eV/cell. Number 5: energy -9.86 eV/cell. Number 6: energy -16.64 eV/cell. Number 7: energy -29.56 eV/cell. Number 8: energy -27.23 eV/cell. Number 9: energy -24.14 eV/cell. Number 10: energy -28.33 eV/cell. Number 11: energy -32.32 eV/cell. Number 12: energy -14.10 eV/cell.